This record from Alexandria via LeMat-Bulk describes a relaxed structure of LiYTmAg. The functional is PBE-GGA.

```
LiYTmAg
1.0
-0.870 4.429 -2.442
-4.461 2.454 0.647
-0.150 4.399 2.639
Ag Li Y Tm
1 1 1 1
direct
0.000 0.000 0.000
0.500 0.500 0.500
0.750 0.750 0.750
0.250 0.250 0.250
```

Excess energy over the best structure of this formula in the dataset   9 meV per atom
Space group   No. 216
Calculated total energy   -16.140 eV/cell
DOS(E_F)   0.8884 states/eV/atom

This record from Alexandria via LeMat-Bulk describes a relaxed structure of K2HgP2. The functional is PBE-GGA.

```
K2HgP2
1.0
-7.511 3.100 -1.886
-2.912 -7.736 -1.119
-1.143 -0.184 4.248
Hg P K
2 4 4
direct
0.500 0.500 0.000
0.000 0.000 0.000
0.413 0.913 0.000
0.087 0.413 0.000
0.913 0.587 0.000
0.587 0.087 0.000
0.197 0.697 0.500
0.803 0.303 0.500
0.303 0.197 0.500
0.697 0.803 0.500
```

Excess energy over the best structure of this formula in the dataset   0 meV per atom
Space group   No. 127
Calculated total energy   -29.107 eV/cell
DOS(E_F)   0.5996 states/eV/atom

This record from Alexandria via LeMat-Bulk describes a relaxed structure of Pm3Ag2Au4. The functional is PBE-GGA.

```
Pm3Ag2Au4
1.0
-4.343 0.188 0.179
2.145 -3.965 3.322
0.573 6.086 7.475
Au Pm Ag
4 3 2
direct
0.920 0.839 0.384
0.693 0.386 0.078
0.307 0.614 0.922
0.080 0.161 0.616
0.630 0.260 0.375
0.370 0.740 0.625
0.000 0.000 0.000
0.662 0.324 0.777
0.338 0.676 0.223
```

Excess energy over the best structure of this formula in the dataset   42 meV per atom
Space group   No. 12
Calculated total energy   -38.195 eV/cell
DOS(E_F)   0.6791 states/eV/atom

- Which of these has the highest calculated total energy?
  LiYTmAg

- calculated total energy of number 3 (Pm3Ag2Au4)?
  -38.195 eV/cell